Here is a relaxed CaMgI2O crystal from the Alexandria database. Energies are from PBE-GGA.

Geometry as POSCAR:
```
CaMgI2O
1.0
6.122 0.000 0.000
0.000 6.122 0.000
0.000 0.000 4.159
O I Ca Mg
1 2 1 1
Direct
0.000 0.000 0.500 O
0.000 0.500 0.000 I
0.500 0.000 0.000 I
0.000 0.000 0.000 Ca
0.500 0.500 0.500 Mg
```

Values from the calculation:
Magnetization ... 0.0 Bohr magnetons per cell
Relative energy among the computed polymorphs ... 408.6 meV per atom
Raw formation energy ... -0.846 eV/atom

Here is a relaxed CaMgI2O crystal from the Alexandria database. Energies are from PBE-GGA.

Geometry as POSCAR:
```
CaMgI2O
1.0
5.834 0.000 0.000
0.000 5.834 0.000
0.000 0.000 3.854
Ca I Mg O
1 2 1 1
Direct
0.500 0.500 0.500 Ca
0.000 0.500 0.000 I
0.500 0.000 0.000 I
0.000 0.000 0.000 Mg
0.000 0.000 0.500 O
```

Values from the calculation:
Magnetization ... 0.0 Bohr magnetons per cell
Relative energy among the computed polymorphs ... 0.0 meV per atom
Raw formation energy ... -1.255 eV/atom

Here is a relaxed CaMgIO2 crystal from the Alexandria database. Energies are from PBE-GGA.

Geometry as POSCAR:
```
CaMgIO2
1.0
4.197 0.000 0.000
0.000 4.197 0.000
0.000 0.000 5.505
I O Ca Mg
1 2 1 1
Direct
0.000 0.000 0.500 I
0.000 0.500 0.000 O
0.500 0.000 0.000 O
0.500 0.500 0.500 Ca
0.000 0.000 0.000 Mg
```

Values from the calculation:
Magnetization ... 0.0 Bohr magnetons per cell
Relative energy among the computed polymorphs ... 0.0 meV per atom
Raw formation energy ... -1.202 eV/atom

Here is a relaxed CaMgIO2 crystal from the Alexandria database. Energies are from PBE-GGA.

Geometry as POSCAR:
```
CaMgIO2
1.0
4.370 0.000 0.000
0.000 4.370 0.000
0.000 0.000 6.048
Mg O I Ca
1 2 1 1
Direct
0.500 0.500 0.500 Mg
0.000 0.500 0.000 O
0.500 0.000 0.000 O
0.000 0.000 0.500 I
0.000 0.000 0.000 Ca
```

Values from the calculation:
Magnetization ... 0.0 Bohr magnetons per cell
Relative energy among the computed polymorphs ... 432.3 meV per atom
Raw formation energy ... -0.769 eV/atom